# SmHo9Sc2

A geometry-optimized SmHo9Sc2 structure (GGA-PBE, Alexandria via LeMat-Bulk).

Values from the calculation:
D(E_F) (states/eV per atom): 1.337
VASP energy (eV/atom): -4.845
Energy of formation from the pure elements (kJ/mol of formula units): 43
Calculated volume (Å³ per cell): 363.1

Cell lengths 11.013, 11.013, 3.457 Å; angles 90.00, 90.00, 120.00 degrees
Fractional positions:
Sm 0.000 0.000 0.000
Ho 0.000 0.500 0.000
Ho 0.180 0.360 0.500
Ho 0.180 0.820 0.500
Ho 0.360 0.180 0.500
Ho 0.500 0.000 0.000
Ho 0.500 0.500 0.000
Ho 0.640 0.820 0.500
Ho 0.820 0.180 0.500
Ho 0.820 0.640 0.500
Sc 0.333 0.667 0.000
Sc 0.667 0.333 0.000